# Cs3Bi4Pd (PBE-GGA, relaxed)
# ΔE_f: -0.250 eV/atom
data_Cs3Bi4Pd
_cell_length_a 6.609
_cell_length_b 7.389
_cell_length_c 14.689
_cell_angle_alpha 90.00
_cell_angle_beta 90.00
_cell_angle_gamma 90.00
_space_group_name_H-M_alt 'P 1'
_space_group_IT_number 1
loop_
_space_group_symop_operation_xyz
'x,y,z'
loop_
_atom_site_label
_atom_site_type_symbol
_atom_site_fract_x
_atom_site_fract_y
_atom_site_fract_z
Pd1 Pd 0.326 0.000 0.500
Cs1 Cs 0.166 0.000 0.248
Bi1 Bi 0.340 0.500 0.885
Pd2 Pd 0.674 0.500 0.000
Bi2 Bi 0.990 0.231 0.500
Cs2 Cs 0.834 0.500 0.252
Bi3 Bi 0.660 0.000 0.615
Cs3 Cs 0.834 0.500 0.748
Bi4 Bi 0.990 0.769 0.500
Bi5 Bi 0.340 0.500 0.115
Bi6 Bi 0.010 0.269 0.000
Cs4 Cs 0.483 0.500 0.500
Bi7 Bi 0.010 0.731 0.000
Bi8 Bi 0.660 0.000 0.385
Cs5 Cs 0.517 0.000 0.000
Cs6 Cs 0.166 0.000 0.752

=====

# CsBiPd2 (PBE-GGA, relaxed)
# ΔE_f: -0.301 eV/atom
data_CsBiPd2
_cell_length_a 4.833
_cell_length_b 7.112
_cell_length_c 7.426
_cell_angle_alpha 90.00
_cell_angle_beta 90.00
_cell_angle_gamma 90.00
_space_group_name_H-M_alt 'P 1'
_space_group_IT_number 1
loop_
_space_group_symop_operation_xyz
'x,y,z'
loop_
_atom_site_label
_atom_site_type_symbol
_atom_site_fract_x
_atom_site_fract_y
_atom_site_fract_z
Pd1 Pd 0.500 0.417 0.188
Cs1 Cs 0.000 0.122 0.500
Cs2 Cs 0.500 0.878 0.000
Pd2 Pd 0.500 0.417 0.812
Pd3 Pd 0.000 0.583 0.312
Bi1 Bi 0.000 0.370 0.000
Pd4 Pd 0.000 0.583 0.688
Bi2 Bi 0.500 0.630 0.500

=====

# CsBi2Pd (PBE-GGA, relaxed)
# ΔE_f: -0.135 eV/atom
data_CsBi2Pd
_cell_length_a 4.462
_cell_length_b 4.462
_cell_length_c 10.131
_cell_angle_alpha 77.28
_cell_angle_beta 77.28
_cell_angle_gamma 60.00
_space_group_name_H-M_alt 'P 1'
_space_group_IT_number 1
loop_
_space_group_symop_operation_xyz
'x,y,z'
loop_
_atom_site_label
_atom_site_type_symbol
_atom_site_fract_x
_atom_site_fract_y
_atom_site_fract_z
Bi1 Bi 0.872 0.872 0.383
Cs1 Cs 0.000 0.000 0.000
Bi2 Bi 0.128 0.128 0.617
Pd1 Pd 0.500 0.500 0.500

=====

# Cs3Bi2Pd4 (PBE-GGA, relaxed)
# ΔE_f: -0.215 eV/atom
data_Cs3Bi2Pd4
_cell_length_a 4.781
_cell_length_b 7.194
_cell_length_c 9.857
_cell_angle_alpha 110.66
_cell_angle_beta 90.00
_cell_angle_gamma 109.41
_space_group_name_H-M_alt 'P 1'
_space_group_IT_number 1
loop_
_space_group_symop_operation_xyz
'x,y,z'
loop_
_atom_site_label
_atom_site_type_symbol
_atom_site_fract_x
_atom_site_fract_y
_atom_site_fract_z
Cs1 Cs 0.000 0.000 0.000
Bi1 Bi 0.678 0.355 0.774
Pd1 Pd 0.920 0.840 0.359
Pd2 Pd 0.751 0.502 0.077
Bi2 Bi 0.322 0.645 0.226
Cs2 Cs 0.370 0.741 0.628
Pd3 Pd 0.080 0.160 0.641
Cs3 Cs 0.630 0.259 0.372
Pd4 Pd 0.249 0.498 0.923

=====

# CsBi2Pd (PBE-GGA, relaxed)
# ΔE_f: -0.309 eV/atom
data_CsBi2Pd
_cell_length_a 4.488
_cell_length_b 8.399
_cell_length_c 7.909
_cell_angle_alpha 90.00
_cell_angle_beta 90.00
_cell_angle_gamma 90.00
_space_group_name_H-M_alt 'P 1'
_space_group_IT_number 1
loop_
_space_group_symop_operation_xyz
'x,y,z'
loop_
_atom_site_label
_atom_site_type_symbol
_atom_site_fract_x
_atom_site_fract_y
_atom_site_fract_z
Bi1 Bi 0.500 0.305 0.140
Cs1 Cs 0.000 0.000 0.382
Cs2 Cs 0.500 0.500 0.618
Bi2 Bi 0.500 0.695 0.140
Bi3 Bi 0.000 0.195 0.860
Pd1 Pd 0.000 0.500 0.053
Bi4 Bi 0.000 0.805 0.860
Pd2 Pd 0.500 0.000 0.947

=====

# Cs2Bi2Pd (PBE-GGA, relaxed)
# ΔE_f: -0.400 eV/atom
data_Cs2Bi2Pd
_cell_length_a 8.655
_cell_length_b 8.655
_cell_length_c 7.089
_cell_angle_alpha 90.00
_cell_angle_beta 90.00
_cell_angle_gamma 125.94
_space_group_name_H-M_alt 'P 1'
_space_group_IT_number 1
loop_
_space_group_symop_operation_xyz
'x,y,z'
loop_
_atom_site_label
_atom_site_type_symbol
_atom_site_fract_x
_atom_site_fract_y
_atom_site_fract_z
Bi1 Bi 0.090 0.290 0.750
Cs1 Cs 0.805 0.195 0.250
Cs2 Cs 0.604 0.396 0.750
Pd1 Pd 0.000 0.000 0.000
Bi2 Bi 0.910 0.710 0.250
Cs3 Cs 0.396 0.604 0.250
Bi3 Bi 0.290 0.090 0.250
Cs4 Cs 0.195 0.805 0.750
Bi4 Bi 0.710 0.910 0.750
Pd2 Pd 0.000 0.000 0.500

=====

# CsBi2Pd (PBE-GGA, relaxed)
# ΔE_f: -0.192 eV/atom
data_CsBi2Pd
_cell_length_a 5.373
_cell_length_b 10.305
_cell_length_c 11.404
_cell_angle_alpha 116.86
_cell_angle_beta 103.63
_cell_angle_gamma 90.00
_space_group_name_H-M_alt 'P 1'
_space_group_IT_number 1
loop_
_space_group_symop_operation_xyz
'x,y,z'
loop_
_atom_site_label
_atom_site_type_symbol
_atom_site_fract_x
_atom_site_fract_y
_atom_site_fract_z
Bi1 Bi 0.300 0.955 0.600
Pd1 Pd 0.159 0.410 0.317
Bi2 Bi 0.076 0.576 0.152
Cs1 Cs 0.692 0.692 0.384
Cs2 Cs 0.308 0.308 0.616
Bi3 Bi 0.300 0.646 0.600
Pd2 Pd 0.159 0.908 0.317
Bi4 Bi 0.112 0.112 0.223
Pd3 Pd 0.841 0.590 0.683
Bi5 Bi 0.700 0.045 0.400
Bi6 Bi 0.700 0.354 0.400
Bi7 Bi 0.888 0.888 0.777
Bi8 Bi 0.924 0.424 0.848
Cs3 Cs 0.500 0.235 0.000
Pd4 Pd 0.841 0.092 0.683
Cs4 Cs 0.500 0.765 0.000

=====

# Cs4Bi4Pd (PBE-GGA, relaxed)
# ΔE_f: -0.131 eV/atom
data_Cs4Bi4Pd
_cell_length_a 7.791
_cell_length_b 9.885
_cell_length_c 7.791
_cell_angle_alpha 66.79
_cell_angle_beta 90.00
_cell_angle_gamma 113.21
_space_group_name_H-M_alt 'P 1'
_space_group_IT_number 1
loop_
_space_group_symop_operation_xyz
'x,y,z'
loop_
_atom_site_label
_atom_site_type_symbol
_atom_site_fract_x
_atom_site_fract_y
_atom_site_fract_z
Bi1 Bi 0.278 0.280 0.998
Bi2 Bi 0.002 0.280 0.722
Pd1 Pd 0.000 0.000 0.000
Cs1 Cs 0.810 0.247 0.190
Bi3 Bi 0.998 0.720 0.002
Cs2 Cs 0.438 0.247 0.562
Cs3 Cs 0.562 0.753 0.810
Cs4 Cs 0.190 0.753 0.438
Bi4 Bi 0.722 0.720 0.278

=====

# CsBi2Pd (PBE-GGA, relaxed)
# ΔE_f: -0.152 eV/atom
data_CsBi2Pd
_cell_length_a 3.726
_cell_length_b 3.726
_cell_length_c 9.040
_cell_angle_alpha 90.00
_cell_angle_beta 90.00
_cell_angle_gamma 90.00
_space_group_name_H-M_alt 'P 1'
_space_group_IT_number 1
loop_
_space_group_symop_operation_xyz
'x,y,z'
loop_
_atom_site_label
_atom_site_type_symbol
_atom_site_fract_x
_atom_site_fract_y
_atom_site_fract_z
Pd1 Pd 0.500 0.500 0.000
Bi1 Bi 0.000 0.000 0.831
Bi2 Bi 0.000 0.000 0.169
Cs1 Cs 0.500 0.500 0.500

=====

# Cs2BiPd2 (PBE-GGA, relaxed)
# ΔE_f: 0.492 eV/atom
data_Cs2BiPd2
_cell_length_a 4.992
_cell_length_b 4.992
_cell_length_c 7.538
_cell_angle_alpha 70.66
_cell_angle_beta 70.66
_cell_angle_gamma 90.00
_space_group_name_H-M_alt 'P 1'
_space_group_IT_number 1
loop_
_space_group_symop_operation_xyz
'x,y,z'
loop_
_atom_site_label
_atom_site_type_symbol
_atom_site_fract_x
_atom_site_fract_y
_atom_site_fract_z
Bi1 Bi 0.000 0.000 0.000
Cs1 Cs 0.750 0.250 0.500
Cs2 Cs 0.250 0.750 0.500
Pd1 Pd 0.404 0.404 0.192
Pd2 Pd 0.596 0.596 0.808

=====

# CsBi2Pd3 (PBE-GGA, relaxed)
# ΔE_f: -0.282 eV/atom
data_CsBi2Pd3
_cell_length_a 4.360
_cell_length_b 8.950
_cell_length_c 9.415
_cell_angle_alpha 110.56
_cell_angle_beta 90.00
_cell_angle_gamma 104.10
_space_group_name_H-M_alt 'P 1'
_space_group_IT_number 1
loop_
_space_group_symop_operation_xyz
'x,y,z'
loop_
_atom_site_label
_atom_site_type_symbol
_atom_site_fract_x
_atom_site_fract_y
_atom_site_fract_z
Cs1 Cs 0.156 0.311 0.051
Pd1 Pd 0.043 0.086 0.397
Bi1 Bi 0.816 0.632 0.353
Pd2 Pd 0.424 0.848 0.373
Cs2 Cs 0.844 0.689 0.949
Pd3 Pd 0.683 0.365 0.453
Bi2 Bi 0.472 0.944 0.786
Bi3 Bi 0.184 0.368 0.647
Pd4 Pd 0.957 0.914 0.603
Pd5 Pd 0.317 0.635 0.547
Pd6 Pd 0.576 0.152 0.627
Bi4 Bi 0.528 0.056 0.214

=====

# Cs2Bi2Pd (PBE-GGA, relaxed)
# ΔE_f: -0.229 eV/atom
data_Cs2Bi2Pd
_cell_length_a 7.499
_cell_length_b 7.499
_cell_length_c 6.562
_cell_angle_alpha 90.00
_cell_angle_beta 90.00
_cell_angle_gamma 90.00
_space_group_name_H-M_alt 'P 1'
_space_group_IT_number 1
loop_
_space_group_symop_operation_xyz
'x,y,z'
loop_
_atom_site_label
_atom_site_type_symbol
_atom_site_fract_x
_atom_site_fract_y
_atom_site_fract_z
Bi1 Bi 0.149 0.351 0.000
Cs1 Cs 0.828 0.328 0.500
Bi2 Bi 0.649 0.149 0.000
Bi3 Bi 0.851 0.649 0.000
Cs2 Cs 0.328 0.172 0.500
Cs3 Cs 0.672 0.828 0.500
Pd1 Pd 0.500 0.500 0.000
Bi4 Bi 0.351 0.851 0.000
Pd2 Pd 0.000 0.000 0.000
Cs4 Cs 0.172 0.672 0.500

=====

Per-record V, Å³/atom: 44.83, 31.91, 42.24, 32.95, 37.26, 43.00, 33.96, 55.35, 31.38, 33.19, 27.68, 36.90